# 1
## Ac5TlGe2 (PBE)

Data for a relaxed structure of Ac5TlGe2.

Volume = 37.09 Å³ per atom
Total energy = -4.456 eV/atom
Energy of formation = -0.4376 eV/atom

Cell and atoms, written as CIF:
```
data_Ac5TlGe2
_space_group_name_H-M_alt 'I m m m'
_space_group_IT_number 71
_space_group_name_Hall '-I 2 2'
_cell_length_a 4.518
_cell_length_b 7.930
_cell_length_c 16.563
_cell_angle_alpha 90.00
_cell_angle_beta 90.00
_cell_angle_gamma 90.00
loop_
_atom_site_label
_atom_site_type_symbol
_atom_site_fract_x
_atom_site_fract_y
_atom_site_fract_z
Ac1 Ac 0.000 0.000 0.000
Ac2 Ac 0.000 0.229 0.355
Tl1 Tl 0.000 0.500 0.000
Ge1 Ge 0.000 0.000 0.194
```

# 2
## PrTiAlIr2 (PBE)

Data for a relaxed structure of PrTiAlIr2.

Volume = 19.39 Å³ per atom
Total energy = -7.668 eV/atom
Energy of formation = -0.8401 eV/atom

Cell and atoms, written as CIF:
```
data_PrTiAlIr2
_space_group_name_H-M_alt 'I -4 m 2'
_space_group_IT_number 119
_space_group_name_Hall 'I -4 -2'
_cell_length_a 4.104
_cell_length_b 4.104
_cell_length_c 11.513
_cell_angle_alpha 90.00
_cell_angle_beta 90.00
_cell_angle_gamma 90.00
loop_
_atom_site_label
_atom_site_type_symbol
_atom_site_fract_x
_atom_site_fract_y
_atom_site_fract_z
Pr1 Pr 0.000 0.000 0.000
Ti1 Ti 0.000 0.500 0.750
Al1 Al 0.000 0.500 0.250
Ir1 Ir 0.000 0.000 0.383
```

# 3
## Tb2ErAu (PBE)

Data for a relaxed structure of Tb2ErAu.

Volume = 29.44 Å³ per atom
Total energy = -4.548 eV/atom
Energy of formation = -0.2732 eV/atom

Cell and atoms, written as CIF:
```
data_Tb2ErAu
_space_group_name_H-M_alt 'R 3 m'
_space_group_IT_number 160
_space_group_name_Hall 'R 3 -2"'
_cell_length_a 3.7180
_cell_length_b 3.7180
_cell_length_c 29.5110
_cell_angle_alpha 90.00
_cell_angle_beta 90.00
_cell_angle_gamma 120.00
loop_
_atom_site_label
_atom_site_type_symbol
_atom_site_fract_x
_atom_site_fract_y
_atom_site_fract_z
Tb1 Tb 0.0000 0.0000 0.0000
Tb2 Tb 0.0000 0.0000 0.1922
Er1 Er 0.0000 0.0000 0.7625
Au1 Au 0.0000 0.0000 0.5966
```

# 4
## Th3Ni7Ge2 (PBE)

Data for a relaxed structure of Th3Ni7Ge2.

Volume = 17.23 Å³ per atom
Total energy = -6.401 eV/atom
Energy of formation = -0.4042 eV/atom

Cell and atoms, written as CIF:
```
data_Th3Ni7Ge2
_space_group_name_H-M_alt 'I 4/m m m'
_space_group_IT_number 139
_space_group_name_Hall '-I 4 2'
_cell_length_a 3.997
_cell_length_b 3.997
_cell_length_c 25.880
_cell_angle_alpha 90.00
_cell_angle_beta 90.00
_cell_angle_gamma 90.00
loop_
_atom_site_label
_atom_site_type_symbol
_atom_site_fract_x
_atom_site_fract_y
_atom_site_fract_z
Th1 Th 0.000 0.000 0.000
Th2 Th 0.000 0.000 0.173
Ni1 Ni 0.000 0.000 0.281
Ni2 Ni 0.000 0.000 0.500
Ni3 Ni 0.000 0.500 0.075
Ge1 Ge 0.000 0.000 0.377
```

# 5
## Na2YScAl (PBE)

Data for a relaxed structure of Na2YScAl.

Volume = 35.59 Å³ per atom
Total energy = -2.595 eV/atom
Energy of formation = 1.2407 eV/atom

Cell and atoms, written as CIF:
```
data_Na2YScAl
_space_group_name_H-M_alt 'P 4/m m m'
_space_group_IT_number 123
_space_group_name_Hall '-P 4 2'
_cell_length_a 5.739
_cell_length_b 5.739
_cell_length_c 5.403
_cell_angle_alpha 90.00
_cell_angle_beta 90.00
_cell_angle_gamma 90.00
loop_
_atom_site_label
_atom_site_type_symbol
_atom_site_fract_x
_atom_site_fract_y
_atom_site_fract_z
Na1 Na 0.000 0.500 0.000
Y1 Y 0.000 0.000 0.000
Sc1 Sc 0.000 0.000 0.500
Al1 Al 0.500 0.500 0.500
```

# 6
## Pm6Te2AsSe3 (PBE)

Data for a relaxed structure of Pm6Te2AsSe3.

Volume = 28.11 Å³ per atom
Total energy = -5.821 eV/atom
Uncorrected formation energy = -1.664 eV per atom

Cell and atoms, written as CIF:
```
data_Pm6Te2AsSe3
_space_group_name_H-M_alt 'C 1 2/m 1'
_space_group_IT_number 12
_cell_length_a 18.742
_cell_length_b 4.262
_cell_length_c 8.666
_cell_angle_alpha 90.00
_cell_angle_beta 102.93
_cell_angle_gamma 90.00
loop_
_space_group_symop_operation_xyz
'x,y,z'
'-x,-y,-z'
'-x,y,-z'
'x,-y,z'
'x+1/2,y+1/2,z'
'-x+1/2,-y+1/2,-z'
'-x+1/2,y+1/2,-z'
'x+1/2,-y+1/2,z'
loop_
_atom_site_label
_atom_site_type_symbol
_atom_site_fract_x
_atom_site_fract_y
_atom_site_fract_z
Pm1 Pm 0.005 0.000 0.262
Pm2 Pm 0.157 0.500 0.104
Pm3 Pm 0.160 0.500 0.565
Te1 Te 0.169 0.000 0.840
As1 As 0.000 0.500 0.500
Se1 Se 0.000 0.500 0.000
Se2 Se 0.170 0.000 0.340
```